Record 1
Entry from Alexandria via LeMat-Bulk: BaNaCaAc after structural relaxation (PBE).

a b c (Å): 9.032 9.032 9.032
angles (deg): 90.00 90.00 90.00
Space group F-43m (No. 216)
Unique sites:
1 Ba 0.000 0.000 0.000 x4
2 Na 0.250 0.250 0.250 x4
3 Ca 0.000 0.000 0.500 x4
4 Ac 0.250 0.250 0.750 x4

Output
E_form = 19 kJ per mole of atoms
magnetization = 0.000 μB/atom
raw total energy = -2.143 eV/atom



Record 2
Entry from Alexandria via LeMat-Bulk: BaCaAcNd after structural relaxation (PBE).

a b c (Å): 8.912 8.912 8.912
angles (deg): 90.00 90.00 90.00
Space group F-43m (No. 216)
Unique sites:
1 Ba 0.000 0.000 0.000 x4
2 Ca 0.250 0.250 0.250 x4
3 Ac 0.250 0.250 0.750 x4
4 Nd 0.000 0.000 0.500 x4

Output
E_form = 14 kJ per mole of atoms
magnetization = 0.000 μB/atom
raw total energy = -3.053 eV/atom



Record 3
Entry from Alexandria via LeMat-Bulk: BaCaAcPb after structural relaxation (PBE).

a b c (Å): 8.616 8.616 8.616
angles (deg): 90.00 90.00 90.00
Space group F-43m (No. 216)
Unique sites:
1 Ba 0.000 0.000 0.000 x4
2 Ca 0.250 0.250 0.250 x4
3 Ac 0.000 0.000 0.500 x4
4 Pb 0.250 0.250 0.750 x4

Output
E_form = -19 kJ per mole of atoms
magnetization = 0.000 μB/atom
raw total energy = -3.127 eV/atom



Record 4
Entry from Alexandria via LeMat-Bulk: BaCa2AcPd after structural relaxation (PBE).

a b c (Å): 5.917 5.917 5.892
angles (deg): 90.00 90.00 90.00
Space group P4/mmm (No. 123)
Unique sites:
1 Ba 0.000 0.000 0.000 x1
2 Ca 0.000 0.500 0.500 x2
3 Ac 0.500 0.500 0.000 x1
4 Pd 0.500 0.500 0.500 x1

Output
E_form = -30 kJ per mole of atoms
magnetization = 0.000 μB/atom
raw total energy = -3.358 eV/atom



Record 5
Entry from Alexandria via LeMat-Bulk: BaCaAcPm after structural relaxation (PBE).

a b c (Å): 8.891 8.891 8.891
angles (deg): 90.00 90.00 90.00
Space group F-43m (No. 216)
Unique sites:
1 Ba 0.000 0.000 0.000 x4
2 Ca 0.250 0.250 0.750 x4
3 Ac 0.250 0.250 0.250 x4
4 Pm 0.000 0.000 0.500 x4

Output
E_form = 15 kJ per mole of atoms
magnetization = 0.000 μB/atom
raw total energy = -3.041 eV/atom



Record 6
Entry from Alexandria via LeMat-Bulk: BaCaAcPr after structural relaxation (PBE).

a b c (Å): 8.936 8.936 8.936
angles (deg): 90.00 90.00 90.00
Space group F-43m (No. 216)
Unique sites:
1 Ba 0.000 0.000 0.000 x4
2 Ca 0.250 0.250 0.250 x4
3 Ac 0.250 0.250 0.750 x4
4 Pr 0.000 0.000 0.500 x4

Output
E_form = 13 kJ per mole of atoms
magnetization = 0.000 μB/atom
raw total energy = -3.064 eV/atom



> Look up the E_form of the second one.

14 kJ per mole of atoms



> What is the magnetization in the fifth record?

0.000 μB/atom



> Among the records above, which one has the lowest raw total energy?

BaCa2AcPd



> Which value of raw total energy does entry 1 give?

-2.143 eV/atom